The following is a DFT calculation (PBE with a Hubbard U) of crystalline Rb2NpWO6 at its relaxed geometry.

VASP energy, eV per cell: -74.80
Symmetry: No. 71
DOS at the Fermi energy, states/eV/f.u.: 4.40
Total magnetic moment, μB per cell: 3.0

Geometry as POSCAR:
```
Rb2NpWO6
1.0
-2.9625 2.9907 4.1987
2.9625 -2.9907 4.1987
2.9625 2.9907 -4.1987
Rb Np W O
2 1 1 6
direct
0.2485 0.2485 0.0000
0.7515 0.7515 0.0000
0.5000 0.0000 0.5000
0.0000 0.5000 0.5000
0.2407 0.2634 0.5041
0.2407 0.7366 0.9773
0.2461 0.7461 0.5000
0.7539 0.2539 0.5000
0.7593 0.2634 0.0227
0.7593 0.7366 0.4959
```